(1)
! Ca2BRh PBE optimized geometry; values from VASP
! Spin magnetization in μB per cell: 0.0
! Calculated total energy in eV per atom: -4.805
! V in Å³/atom: 23.48
&SYSTEM
  ibrav = 0, nat = 8, ntyp = 3
/
ATOMIC_SPECIES
Rh 102.91 Rh.upf
Ca 40.08 Ca.upf
B 10.81 B.upf
CELL_PARAMETERS angstrom
-3.229 -1.194 2.131
-3.975 -1.723 -3.818
1.567 -8.480 -1.767
ATOMIC_POSITIONS angstrom
Rh -2.478 -6.664 -0.797
Rh -3.159 -4.733 -2.657
Ca -3.410 -7.537 -3.659
Ca -2.227 -3.860 0.205
Ca -5.465 -3.188 -1.168
Ca -0.172 -8.209 -2.286
B -4.334 -5.753 -1.318
B -1.303 -5.644 -2.136

=====

(2)
! Sm3MgCd8 PBE optimized geometry; values from VASP
! Spin magnetization in μB per cell: 0.0
! Calculated total energy in eV per atom: -2.155
! V in Å³/atom: 24.60
&SYSTEM
  ibrav = 0, nat = 12, ntyp = 3
/
ATOMIC_SPECIES
Cd 112.41 Cd.upf
Sm 150.36 Sm.upf
Mg 24.30 Mg.upf
CELL_PARAMETERS angstrom
-0.150 -4.862 3.413
4.337 -1.002 3.936
-3.568 2.906 9.156
ATOMIC_POSITIONS angstrom
Cd 1.553 -1.068 11.472
Cd 1.170 -2.029 4.932
Cd 3.329 -2.527 6.891
Cd -0.777 0.173 5.385
Cd 1.095 -4.449 6.631
Cd -0.697 -3.003 11.210
Cd -0.460 -1.313 13.628
Cd 1.478 -3.505 13.183
Sm 4.130 -5.808 7.426
Sm -1.521 0.314 10.726
Sm 0.339 -1.508 8.212
Mg 2.295 -4.011 9.905

=====

(3)
! SmGaSnPt PBE optimized geometry; values from VASP
! Spin magnetization in μB per cell: 0.0
! Calculated total energy in eV per atom: -5.125
! V in Å³/atom: 21.43
&SYSTEM
  ibrav = 0, nat = 4, ntyp = 4
/
ATOMIC_SPECIES
Sn 118.71 Sn.upf
Pt 195.08 Pt.upf
Sm 150.36 Sm.upf
Ga 69.72 Ga.upf
CELL_PARAMETERS angstrom
-0.400 -4.927 0.241
2.120 -2.827 -3.465
3.955 -2.751 1.131
ATOMIC_POSITIONS angstrom
Sn 1.419 -2.626 -0.523
Pt 2.838 -5.253 -1.047
Sm 4.257 -7.879 -1.570
Ga 0.000 0.000 0.000

=====

(4)
! BaSr2Li PBE optimized geometry; values from VASP
! Spin magnetization in μB per cell: 0.0
! Calculated total energy in eV per atom: -1.705
! V in Å³/atom: 49.99
! Polymorph energy (0 for the lowest one) in meV per atom: 76.6
&SYSTEM
  ibrav = 0, nat = 4, ntyp = 3
/
ATOMIC_SPECIES
Li 6.94 Li.upf
Sr 87.62 Sr.upf
Ba 137.33 Ba.upf
CELL_PARAMETERS angstrom
7.241 0.055 0.000
2.569 6.770 0.000
-4.905 -3.412 4.091
ATOMIC_POSITIONS angstrom
Li 3.621 0.027 2.045
Sr 0.000 0.000 0.000
Sr 1.284 3.385 2.045
Ba 4.905 3.412 0.000

=====

(5)
! ThH4Pd4 PBE optimized geometry; values from VASP
! Spin magnetization in μB per cell: 0.0
! Calculated total energy in eV per atom: -4.999
! V in Å³/atom: 11.60
&SYSTEM
  ibrav = 0, nat = 18, ntyp = 3
/
ATOMIC_SPECIES
H 1.01 H.upf
Pd 106.42 Pd.upf
Th 232.04 Th.upf
CELL_PARAMETERS angstrom
4.244 0.000 0.000
0.000 7.013 0.000
0.000 0.000 7.013
ATOMIC_POSITIONS angstrom
H 0.001 2.425 5.842
H 0.001 4.587 1.171
H 2.121 5.932 2.336
H 4.243 1.171 2.425
H 2.123 4.677 5.932
H 4.243 5.842 4.587
H 2.121 1.081 4.677
H 2.123 2.336 1.081
Pd 2.122 2.052 6.258
Pd 2.122 6.258 4.961
Pd 0.000 5.558 2.752
Pd 4.244 2.752 1.455
Pd 4.244 4.261 5.558
Pd 0.000 1.455 4.261
Pd 2.122 0.754 2.052
Pd 2.122 4.961 0.754
Th 2.122 3.506 3.506
Th 0.000 0.000 0.000

=====

(6)
! Tb3TmPb5 PBE optimized geometry; values from VASP
! Spin magnetization in μB per cell: 0.0
! Calculated total energy in eV per atom: -4.519
! V in Å³/atom: 28.61
&SYSTEM
  ibrav = 0, nat = 18, ntyp = 3
/
ATOMIC_SPECIES
Pb 207.20 Pb.upf
Tb 158.93 Tb.upf
Tm 168.93 Tm.upf
CELL_PARAMETERS angstrom
6.533 0.000 0.000
0.000 9.540 0.000
0.000 -4.770 8.262
ATOMIC_POSITIONS angstrom
Pb 1.633 -1.359 2.355
Pb 1.633 3.411 5.907
Pb 4.900 6.821 0.000
Pb 3.267 0.000 5.508
Pb 0.000 4.770 2.754
Pb 1.633 2.719 0.000
Pb 0.000 0.000 5.508
Pb 4.900 -3.411 5.907
Pb 3.267 4.770 2.754
Pb 4.900 1.359 2.355
Tb 4.900 2.948 5.107
Tb 4.900 -1.822 3.155
Tb 1.633 -2.948 5.107
Tb 1.633 5.897 0.000
Tb 1.633 1.822 3.155
Tb 4.900 3.643 0.000
Tm 3.267 0.000 0.000
Tm 0.000 0.000 0.000

=====

(7)
! Tl12In6Sn PBE optimized geometry; values from VASP
! Spin magnetization in μB per cell: 0.0
! Calculated total energy in eV per atom: -2.535
! V in Å³/atom: 30.65
&SYSTEM
  ibrav = 0, nat = 19, ntyp = 3
/
ATOMIC_SPECIES
Tl 204.38 Tl.upf
Sn 118.71 Sn.upf
In 114.82 In.upf
CELL_PARAMETERS angstrom
-3.616 7.096 2.512
-0.660 -3.015 7.759
7.471 3.189 1.937
ATOMIC_POSITIONS angstrom
Tl -0.736 2.287 6.070
Tl 1.794 2.181 8.364
Tl 3.494 4.262 10.561
Tl -0.395 0.075 3.418
Tl 1.401 5.088 3.843
Tl 2.548 1.135 2.017
Tl -0.134 5.556 6.859
Tl -0.299 3.007 1.647
Tl 3.329 1.713 5.348
Tl 3.930 4.983 6.137
Tl 3.590 7.195 8.789
Tl 0.647 6.134 10.191
Sn 0.000 0.000 0.000
In 2.180 7.819 5.679
In 5.140 2.432 8.112
In 1.015 -0.550 6.528
In 4.498 3.830 3.009
In -1.945 4.837 4.095
In -1.303 3.439 9.199

=====

(8)
! NaLa2CdN PBE optimized geometry; values from VASP
! Formation energy from raw total energies in eV per formula unit: -2.5
! Spin magnetization in μB per cell: 0.0
! Calculated total energy in eV per atom: -4.585
! V in Å³/atom: 25.72
&SYSTEM
  ibrav = 0, nat = 5, ntyp = 4
/
ATOMIC_SPECIES
La 138.91 La.upf
N 14.01 N.upf
Na 22.99 Na.upf
Cd 112.41 Cd.upf
CELL_PARAMETERS angstrom
-4.618 1.393 -1.412
-0.791 -4.574 -1.925
-1.843 -1.566 4.481
ATOMIC_POSITIONS angstrom
La -2.309 0.697 -0.706
La -0.396 -2.287 -0.962
N 0.000 0.000 0.000
Na -0.922 -0.783 2.240
Cd -3.626 -2.374 0.572